Material: CaHoAgRh
Method: DFT, PBE
State: relaxed

The offset from the most stable computed form comes out at 72 meV/atom. As for the density of states at the Fermi level: 0.9065 states/eV per atom. Its formation energy is -0.4491 eV/atom.

The space group is F-43m (No. 216) and the conventional cell measures 7.036, 7.036 and 7.036 Å, with angles of 90.00, 90.00 and 90.00 degrees. The inequivalent atoms are Ca at (0.000, 0.000, 0.000), Ho at (0.000, 0.000, 0.500), Ag at (0.250, 0.250, 0.750) and Rh at (0.250, 0.250, 0.250).


Material: Ca2HoAgS4
Method: DFT, PBE
State: relaxed

The formation energy (no corrections) comes out at -1.690 eV/atom.

The space group is P2/m (No. 10) and the conventional cell measures 6.876, 4.004 and 6.892 Å, with angles of 90.00, 109.61 and 90.00 degrees. The inequivalent atoms are Ca at (0.000, 0.000, 0.000), Ca at (0.000, 0.500, 0.500), Ho at (0.500, 0.000, 0.500), Ag at (0.500, 0.500, 0.000), S at (0.256, 0.000, 0.743) and S at (0.256, 0.500, 0.262).


Material: CaHoAgSb
Method: DFT, PBE
State: relaxed

As for the density of states at the Fermi level: 0.8648 states/eV per atom. The formation energy (no corrections) comes out at -0.550 eV/atom.

The space group is F-43m (No. 216) and the conventional cell measures 7.444, 7.444 and 7.444 Å, with angles of 90.00, 90.00 and 90.00 degrees. The inequivalent atoms are Ca at (0.000, 0.000, 0.000), Ho at (0.000, 0.000, 0.500), Ag at (0.250, 0.250, 0.250) and Sb at (0.250, 0.250, 0.750).


Material: Ca2HoAg2Se4
Method: DFT, PBE
State: relaxed

As for the density of states at the Fermi level: 0.2499 states/eV per atom. The formation energy (no corrections) comes out at -1.224 eV/atom.

The space group is C2/m (No. 12) and the conventional cell measures 15.975, 4.014 and 7.806 Å, with angles of 90.00, 119.18 and 90.00 degrees. The inequivalent atoms are Ca at (0.141, 0.000, 0.207), Ho at (0.000, 0.000, 0.500), Ag at (0.186, 0.500, 0.873), Se at (0.001, 0.500, 0.772) and Se at (0.202, 0.000, 0.642).


Material: Ca2HoAgSe4
Method: DFT, PBE
State: relaxed

The formation energy (no corrections) comes out at -1.568 eV/atom.

The space group is P2/m (No. 10) and the conventional cell measures 7.166, 4.167 and 7.208 Å, with angles of 90.00, 109.73 and 90.00 degrees. The inequivalent atoms are Ca at (0.000, 0.000, 0.000), Ca at (0.000, 0.500, 0.500), Ho at (0.500, 0.000, 0.500), Ag at (0.500, 0.500, 0.000), Se at (0.256, 0.500, 0.260) and Se at (0.259, 0.000, 0.748).


Material: Ca3Ho2AgSe6
Method: DFT, PBE
State: relaxed

As for the density of states at the Fermi level: 0.3025 states/eV per atom. The formation energy (no corrections) comes out at -1.675 eV/atom.

The space group is C2/m (No. 12) and the conventional cell measures 7.194, 12.439 and 7.162 Å, with angles of 90.00, 109.52 and 90.00 degrees. The inequivalent atoms are Ca at (0.000, 0.000, 0.000), Ca at (0.000, 0.337, 0.000), Ho at (0.000, 0.168, 0.500), Ag at (0.000, 0.500, 0.500), Se at (0.240, 0.000, 0.741) and Se at (0.248, 0.170, 0.256).


Material: CaHoSiAg
Method: DFT, PBE
State: relaxed

As for the density of states at the Fermi level: 0.4363 states/eV per atom. The formation energy (no corrections) comes out at -0.420 eV/atom.

The space group is F-43m (No. 216) and the conventional cell measures 7.163, 7.163 and 7.163 Å, with angles of 90.00, 90.00 and 90.00 degrees. The inequivalent atoms are Ca at (0.000, 0.000, 0.000), Ho at (0.000, 0.000, 0.500), Si at (0.250, 0.250, 0.750) and Ag at (0.250, 0.250, 0.250).


Material: SrCa2HoAg4
Method: DFT, PBE
State: relaxed

As for the density of states at the Fermi level: 0.6951 states/eV per atom. Its formation energy is -0.2901 eV/atom.

The space group is R-3m (No. 166, hexagonal axes) and the conventional cell measures 5.2579, 5.2579 and 26.1785 Å, with angles of 90.00, 90.00 and 120.00 degrees. The inequivalent atoms are Sr at (0.0000, 0.0000, 0.0000), Ca at (0.0000, 0.0000, 0.2482), Ho at (0.0000, 0.0000, 0.5000), Ag at (0.0000, 0.0000, 0.1309) and Ag at (0.0000, 0.0000, 0.3831).


Material: Ca4Ho3AgTe8
Method: DFT, PBE
State: relaxed

As for the density of states at the Fermi level: 0.2538 states/eV per atom. The formation energy (no corrections) comes out at -1.336 eV/atom.

The space group is R-3m (No. 166, hexagonal axes) and the conventional cell measures 8.8401, 8.8401 and 21.7050 Å, with angles of 90.00, 90.00 and 120.00 degrees. The inequivalent atoms are Ca at (0.0000, 0.0000, 0.0000), Ca at (0.0000, 0.5000, 0.0000), Ho at (0.0000, 0.5000, 0.5000), Ag at (0.0000, 0.0000, 0.5000), Te at (0.0000, 0.0000, 0.2477) and Te at (0.0005, 0.5002, 0.2467).


Material: Ca2HoAgTe4
Method: DFT, PBE
State: relaxed

The formation energy (no corrections) comes out at -1.210 eV/atom.

The space group is P2/m (No. 10) and the conventional cell measures 7.667, 4.442 and 7.721 Å, with angles of 90.00, 109.84 and 90.00 degrees. The inequivalent atoms are Ca at (0.000, 0.000, 0.000), Ca at (0.000, 0.500, 0.500), Ho at (0.500, 0.000, 0.500), Ag at (0.500, 0.500, 0.000), Te at (0.257, 0.500, 0.257) and Te at (0.265, 0.000, 0.755).


Material: CaHoAgTe3
Method: DFT, PBE
State: relaxed

The formation energy (no corrections) comes out at -1.150 eV/atom.

The space group is P2_1/m (No. 11) and the conventional cell measures 8.481, 4.307 and 10.199 Å, with angles of 90.00, 103.33 and 90.00 degrees. The inequivalent atoms are Ca at (0.207, 0.250, 0.274), Ho at (0.320, 0.750, 0.828), Ag at (0.084, 0.250, 0.586), Te at (0.073, 0.250, 0.859), Te at (0.279, 0.750, 0.521) and Te at (0.416, 0.750, 0.146).


Material: CaHoZnAg
Method: DFT, PBE
State: relaxed

The offset from the most stable computed form comes out at 29 meV/atom. As for the density of states at the Fermi level: 0.6929 states/eV per atom. Its formation energy is -0.2797 eV/atom.

The space group is F-43m (No. 216) and the conventional cell measures 7.250, 7.250 and 7.250 Å, with angles of 90.00, 90.00 and 90.00 degrees. The inequivalent atoms are Ca at (0.000, 0.000, 0.000), Ho at (0.000, 0.000, 0.500), Zn at (0.250, 0.250, 0.750) and Ag at (0.250, 0.250, 0.250).


Material: CaHoZnAg
Method: DFT, PBE
State: relaxed

The offset from the most stable computed form comes out at 0 meV/atom. As for the density of states at the Fermi level: 0.7591 states/eV per atom. Its formation energy is -0.3091 eV/atom.

The space group is P4mm (No. 99) and the conventional cell measures 3.644, 3.644 and 7.251 Å, with angles of 90.00, 90.00 and 90.00 degrees. The inequivalent atoms are Ca at (0.000, 0.000, 0.000), Ho at (0.000, 0.000, 0.488), Zn at (0.500, 0.500, 0.266) and Ag at (0.500, 0.500, 0.724).


Material: CaAgI
Method: DFT, PBE
State: relaxed

As for the density of states at the Fermi level: 0.2883 states/eV per atom. The formation energy (no corrections) comes out at -0.799 eV/atom.

The space group is C2/m (No. 12) and the conventional cell measures 5.021, 7.734 and 11.332 Å, with angles of 90.00, 102.46 and 90.00 degrees. The inequivalent atoms are Ca at (0.083, 0.000, 0.169), Ag at (0.000, 0.324, 0.000) and I at (0.161, 0.500, 0.330).


Material: Ca3AgI
Method: DFT, PBE
State: relaxed

The offset from the most stable computed form comes out at 0 meV/atom. As for the density of states at the Fermi level: 0.7333 states/eV per atom. The formation energy (no corrections) comes out at -0.313 eV/atom.

The space group is Pm-3m (No. 221) and the conventional cell measures 5.824, 5.824 and 5.824 Å, with angles of 90.00, 90.00 and 90.00 degrees. The inequivalent atoms are Ca at (0.000, 0.000, 0.500), Ag at (0.000, 0.000, 0.000) and I at (0.500, 0.500, 0.500).


Material: CaAg3I
Method: DFT, PBE
State: relaxed

The offset from the most stable computed form comes out at 158 meV/atom. As for the density of states at the Fermi level: 1.3221 states/eV per atom. The formation energy (no corrections) comes out at 0.712 eV/atom.

The space group is Pm-3m (No. 221) and the conventional cell measures 5.599, 5.599 and 5.599 Å, with angles of 90.00, 90.00 and 90.00 degrees. The inequivalent atoms are Ca at (0.000, 0.000, 0.000), Ag at (0.000, 0.000, 0.500) and I at (0.500, 0.500, 0.500).


Material: CaAg2I
Method: DFT, PBE
State: relaxed

The offset from the most stable computed form comes out at 172 meV/atom. As for the density of states at the Fermi level: 0.5494 states/eV per atom. The formation energy (no corrections) comes out at -0.014 eV/atom.

The space group is Fm-3m (No. 225) and the conventional cell measures 7.492, 7.492 and 7.492 Å, with angles of 90.00, 90.00 and 90.00 degrees. The inequivalent atoms are Ca at (0.000, 0.000, 0.000), Ag at (0.250, 0.250, 0.250) and I at (0.000, 0.000, 0.500).


Material: CaAg2I
Method: DFT, PBE
State: relaxed

The offset from the most stable computed form comes out at 0 meV/atom. As for the density of states at the Fermi level: 0.5715 states/eV per atom. The formation energy (no corrections) comes out at -0.185 eV/atom.

The space group is I-42d (No. 122) and the conventional cell measures 8.891, 8.891 and 5.880 Å, with angles of 90.00, 90.00 and 90.00 degrees. The inequivalent atoms are Ca at (0.000, 0.000, 0.000), Ag at (0.239, 0.750, 0.625) and I at (0.000, 0.000, 0.500).


Material: CaAg3I
Method: DFT, PBE
State: relaxed

The offset from the most stable computed form comes out at 0 meV/atom. As for the density of states at the Fermi level: 0.7713 states/eV per atom. The formation energy (no corrections) comes out at 0.553 eV/atom.

The space group is Pm-3m (No. 221) and the conventional cell measures 5.510, 5.510 and 5.510 Å, with angles of 90.00, 90.00 and 90.00 degrees. The inequivalent atoms are Ca at (0.000, 0.000, 0.000), Ag at (0.000, 0.500, 0.500) and I at (0.500, 0.500, 0.500).


Material: CaIn2AgI5
Method: DFT, PBE
State: relaxed

As for the density of states at the Fermi level: 0.0000 states/eV per atom. The formation energy (no corrections) comes out at -0.793 eV/atom.

The space group is Cmc2_1 (No. 36) and the conventional cell measures 4.618, 20.367 and 15.132 Å, with angles of 90.00, 90.00 and 90.00 degrees. The inequivalent atoms are Ca at (0.000, 0.206, 0.000), In at (0.000, 0.101, 0.641), In at (0.000, 0.124, 0.298), Ag at (0.000, 0.438, 0.408), I at (0.000, 0.051, 0.017), I at (0.000, 0.284, 0.642), I at (0.000, 0.299, 0.356), I at (0.000, 0.361, 0.979) and I at (0.000, 0.495, 0.746).


Material: KCaAgI2
Method: DFT, PBE
State: relaxed

As for the density of states at the Fermi level: 0.2125 states/eV per atom. The formation energy (no corrections) comes out at -0.397 eV/atom.

The space group is P4/mmm (No. 123) and the conventional cell measures 6.318, 6.318 and 5.486 Å, with angles of 90.00, 90.00 and 90.00 degrees. The inequivalent atoms are K at (0.000, 0.000, 0.000), Ca at (0.500, 0.500, 0.000), Ag at (0.500, 0.500, 0.500) and I at (0.000, 0.500, 0.500).


Material: K3CaAg3I8
Method: DFT, PBE
State: relaxed

As for the density of states at the Fermi level: 0.0000 states/eV per atom. The formation energy (no corrections) comes out at -0.959 eV/atom.

The space group is C2/m (No. 12) and the conventional cell measures 15.953, 9.043 and 9.633 Å, with angles of 90.00, 123.15 and 90.00 degrees. The inequivalent atoms are K at (0.000, 0.000, 0.000), K at (0.250, 0.250, 0.000), Ca at (0.000, 0.000, 0.500), Ag at (0.000, 0.500, 0.500), Ag at (0.250, 0.250, 0.500), I at (0.010, 0.254, 0.285), I at (0.237, 0.500, 0.702) and I at (0.238, 0.000, 0.710).


Material: CaMgAg2I6
Method: DFT, PBE
State: relaxed

As for the density of states at the Fermi level: 0.0000 states/eV per atom. The formation energy (no corrections) comes out at -0.829 eV/atom.

The space group is C2/c (No. 15) and the conventional cell measures 18.275, 13.527 and 7.726 Å, with angles of 90.00, 102.38 and 90.00 degrees. The inequivalent atoms are Ca at (0.000, 0.110, 0.250), Mg at (0.000, 0.195, 0.750), Ag at (0.180, 0.499, 0.369), I at (0.074, 0.275, 0.061), I at (0.101, 0.065, 0.636) and I at (0.184, 0.366, 0.622).


Material: CaAgIN2
Method: DFT, PBE
State: relaxed

The offset from the most stable computed form comes out at 85 meV/atom. As for the density of states at the Fermi level: 0.3844 states/eV per atom. The formation energy (no corrections) comes out at 1.169 eV/atom.

The space group is P4/mmm (No. 123) and the conventional cell measures 4.350, 4.350 and 6.434 Å, with angles of 90.00, 90.00 and 90.00 degrees. The inequivalent atoms are Ca at (0.000, 0.000, 0.000), Ag at (0.500, 0.500, 0.500), I at (0.000, 0.000, 0.500) and N at (0.000, 0.500, 0.000).


| no. | total DFT energy (no corrections) (eV per atom) |
| --- | --- |
| 1 | -4.64 |
| 2 | -5.18 |
| 3 | -3.94 |
| 4 | -4.36 |
| 5 | -4.74 |
| 6 | -4.92 |
| 7 | -4.13 |
| 8 | -3.00 |
| 9 | -4.44 |
| 10 | -4.21 |
| 11 | -4.29 |
| 12 | -2.96 |
| 13 | -2.99 |
| 14 | -2.93 |
| 15 | -2.39 |
| 16 | -1.71 |
| 17 | -2.33 |
| 18 | -2.50 |
| 19 | -1.87 |
| 20 | -2.80 |
| 21 | -2.21 |
| 22 | -2.71 |
| 23 | -2.69 |
| 24 | -3.44 |